The following is a PBE calculation of crystalline Zn2PtC at its relaxed geometry, from the Alexandria database.

```
Zn2PtC
1.0
7.803 0.000 0.000
0.000 7.803 0.000
3.902 3.902 1.996
Zn C Pt
4 2 2
Direct
0.497 0.125 0.250
0.253 0.625 0.250
0.375 0.503 0.750
0.875 0.747 0.750
0.500 0.500 0.000
0.250 0.750 0.500
0.000 0.000 0.000
0.750 0.250 0.500
```

* total DFT energy (no corrections): -3.947 eV/atom
* theoretical density: 9.23 g/cm³
* spin magnetization: 0.00 μB/f.u.